This record from Alexandria via LeMat-Bulk describes a geometry-optimized Mn2FeMo structure. The functional is GGA-PBE.

Lattice parameters (Å, degrees): 4.5091 4.5091 4.5091 131.78 131.78 70.58
Last column: nearest neighbours and their distance in Å.
Sites, in units of the cell vectors:
Mn1 0.2500 0.7500 0.5000  4 Fe 2.60, 4 Mo 2.60, 4 Mn 2.60
Mn2 0.7500 0.2500 0.5000  4 Fe 2.60, 4 Mo 2.60, 4 Mn 2.60
Fe1 0.0000 0.0000 0.0000  8 Mn 2.60, 4 Mo 2.60
Mo1 0.5000 0.5000 0.0000  8 Mn 2.60, 4 Fe 2.60

Properties
E_form ... 58 kJ/mol of formula units
Magnetization ... 1.5 μB/f.u.
Final energy ... -37.03 eV per cell
Space group ... I4/mmm, No. 139